(1)
K2SmTh2Te6 after structural relaxation, computed with PBE-GGA.

Computed properties:
V in Å³/atom: 40.42
Uncorrected formation energy in kJ/mol of atoms: -122.7

Unit cell a=7.7690 b=7.7690 c=8.8966 alpha=98.36 beta=98.36 gamma=120.06
Positions (direct):
K1 0.1662 0.8338 0.0000
K2 0.8338 0.1662 0.0000
Th1 0.3329 0.6671 0.5000
Th2 0.6671 0.3329 0.5000
Te1 0.9264 0.5939 0.2856
Te2 0.2655 0.2655 0.2861
Te3 0.4061 0.0736 0.7144
Te4 0.7345 0.7345 0.7139
Te5 0.5939 0.9264 0.2856
Te6 0.0736 0.4061 0.7144
Sm1 0.0000 0.0000 0.5000

(2)
K4Sm3ThTe8 after structural relaxation, computed with PBE-GGA.

Computed properties:
V in Å³/atom: 37.13
Uncorrected formation energy in kJ/mol of atoms: -130.6

Unit cell a=9.0891 b=9.8244 c=9.0897 alpha=117.59 beta=120.00 gamma=90.00
Positions (direct):
K1 0.0000 0.0000 0.0000
K2 0.5000 0.0000 0.5000
K3 0.0000 0.0000 0.5000
K4 0.5000 0.0000 0.0000
Te1 0.2604 0.2849 0.0224
Te2 0.2379 0.7151 0.9776
Te3 0.7621 0.2849 0.0224
Te4 0.7396 0.7151 0.9776
Te5 0.7621 0.2849 0.5242
Te6 0.2379 0.7151 0.4758
Te7 0.7381 0.7140 0.4762
Te8 0.2619 0.2860 0.5238
Th1 0.0000 0.5000 0.0000
Sm1 0.0000 0.5000 0.5000
Sm2 0.5000 0.5000 0.0000
Sm3 0.5000 0.5000 0.5000

(3)
K3SmTh2Te6 after structural relaxation, computed with PBE-GGA.

Computed properties:
V in Å³/atom: 36.91
Uncorrected formation energy in kJ/mol of atoms: -120.7

Unit cell a=7.7954 b=7.7954 c=8.8068 alpha=98.48 beta=98.48 gamma=119.99
Positions (direct):
Sm1 0.0000 0.0000 0.0000
Te1 0.0727 0.4068 0.2183
Te2 0.9273 0.5932 0.7817
Te3 0.5932 0.9273 0.7817
Te4 0.4068 0.0727 0.2183
Te5 0.2611 0.2611 0.7816
Te6 0.7389 0.7389 0.2184
K1 0.1663 0.8337 0.5000
K2 0.8337 0.1663 0.5000
K3 0.5000 0.5000 0.5000
Th1 0.6666 0.3334 0.0000
Th2 0.3334 0.6666 0.0000

(4)
K3Sm2TiTe6 after structural relaxation, computed with PBE-GGA.

Computed properties:
V in Å³/atom: 35.19
Uncorrected formation energy in kJ/mol of atoms: -114.3

Unit cell a=7.6952 b=7.6952 c=8.6330 alpha=98.59 beta=98.59 gamma=120.05
Positions (direct):
Sm1 0.6658 0.3342 0.0000
Sm2 0.3342 0.6658 0.0000
K1 0.1737 0.8263 0.5000
K2 0.8263 0.1737 0.5000
K3 0.5000 0.5000 0.5000
Te1 0.0679 0.3783 0.2042
Te2 0.9321 0.6217 0.7958
Te3 0.7598 0.7598 0.2060
Te4 0.6217 0.9321 0.7958
Te5 0.2402 0.2402 0.7940
Te6 0.3783 0.0679 0.2042
Ti1 0.0000 0.0000 0.0000

(5)
K4Sm3TiTe8 after structural relaxation, computed with PBE-GGA.

Computed properties:
V in Å³/atom: 35.79
Uncorrected formation energy in kJ/mol of atoms: -119.2

Unit cell a=8.9529 b=9.7357 c=8.9533 alpha=117.40 beta=120.00 gamma=90.00
Positions (direct):
K1 0.5000 0.0000 0.0000
K2 0.5000 0.0000 0.5000
K3 0.0000 0.0000 0.0000
K4 0.0000 0.0000 0.5000
Te1 0.2613 0.2840 0.5226
Te2 0.2238 0.7035 0.9798
Te3 0.7762 0.2965 0.0202
Te4 0.7560 0.7035 0.9798
Te5 0.2440 0.2965 0.0202
Te6 0.2239 0.7036 0.4478
Te7 0.7387 0.7160 0.4774
Te8 0.7761 0.2964 0.5522
Sm1 0.0000 0.5000 0.5000
Sm2 0.5000 0.5000 0.0000
Sm3 0.5000 0.5000 0.5000
Ti1 0.0000 0.5000 0.0000

(6)
K3Sm3TiTe8 after structural relaxation, computed with PBE-GGA.

Computed properties:
V in Å³/atom: 38.27
Uncorrected formation energy in kJ/mol of atoms: -117.0

Unit cell a=8.8475 b=8.8454 c=9.8902 alpha=116.56 beta=90.00 gamma=120.01
Positions (direct):
Sm1 0.0000 0.5000 0.5000
Sm2 0.5000 0.5000 0.5000
Sm3 0.5000 0.0000 0.5000
Te1 0.7608 0.9788 0.6968
Te2 0.2618 0.5235 0.2853
Te3 0.2181 0.4361 0.6969
Te4 0.2392 0.0212 0.3031
Te5 0.2180 0.9788 0.6968
Te6 0.7820 0.0212 0.3032
Te7 0.7819 0.5639 0.3031
Te8 0.7382 0.4765 0.7147
K1 0.5000 0.5000 0.0000
K2 0.0000 0.5000 0.0000
K3 0.0000 0.0000 0.0000
Ti1 0.0000 0.0000 0.5000

(7)
KSm3Tm2Te6 after structural relaxation, computed with PBE-GGA.

Computed properties:
V in Å³/atom: 31.26
Uncorrected formation energy in kJ/mol of atoms: -125.0

Unit cell a=4.3981 b=9.0275 c=9.9758 alpha=103.46 beta=102.73 gamma=90.00
Positions (direct):
Sm1 0.1570 0.8152 0.3140
Sm2 0.5000 0.5000 0.0000
Sm3 0.8430 0.1848 0.6860
Tm1 0.1662 0.3383 0.3324
Tm2 0.8338 0.6617 0.6676
Te1 0.3305 0.4258 0.6610
Te2 0.9927 0.7379 0.9853
Te3 0.6751 0.0926 0.3502
Te4 0.6695 0.5742 0.3390
Te5 0.3249 0.9074 0.6498
Te6 0.0073 0.2621 0.0147
K1 0.5000 0.0000 0.0000

(8)
K3Sm3TmTe8 after structural relaxation, computed with PBE-GGA.

Computed properties:
V in Å³/atom: 38.99
Uncorrected formation energy in kJ/mol of atoms: -127.3

Unit cell a=8.9007 b=8.9049 c=9.9537 alpha=116.61 beta=90.00 gamma=119.98
Positions (direct):
K1 0.5000 0.5000 0.0000
K2 0.0000 0.0000 0.0000
K3 0.0000 0.5000 0.0000
Tm1 0.0000 0.0000 0.5000
Te1 0.7670 0.0245 0.2917
Te2 0.2330 0.4661 0.7083
Te3 0.7670 0.5339 0.2917
Te4 0.7425 0.9755 0.7083
Te5 0.7379 0.4759 0.7137
Te6 0.2621 0.5241 0.2863
Te7 0.2575 0.0245 0.2917
Te8 0.2330 0.9755 0.7083
Sm1 0.0000 0.5000 0.5000
Sm2 0.5000 0.0000 0.5000
Sm3 0.5000 0.5000 0.5000

(9)
K4SmTm3Te8 after structural relaxation, computed with PBE-GGA.

Computed properties:
V in Å³/atom: 35.86
Uncorrected formation energy in kJ/mol of atoms: -133.1

Unit cell a=8.9671 b=9.7332 c=8.9659 alpha=117.44 beta=120.00 gamma=90.00
Positions (direct):
Tm1 0.5000 0.5000 0.0000
Tm2 0.0000 0.5000 0.5000
Tm3 0.5000 0.5000 0.5000
Te1 0.7605 0.2917 0.0310
Te2 0.7605 0.2916 0.5211
Te3 0.2649 0.2949 0.5297
Te4 0.2395 0.7084 0.4789
Te5 0.2706 0.2917 0.0310
Te6 0.7351 0.7051 0.4703
Te7 0.2395 0.7083 0.9690
Te8 0.7294 0.7083 0.9690
K1 0.5000 0.0000 0.0000
K2 0.5000 0.0000 0.5000
K3 0.0000 0.0000 0.0000
K4 0.0000 0.0000 0.5000
Sm1 0.0000 0.5000 0.0000

(10)
K3SmTm2Te6 after structural relaxation, computed with PBE-GGA.

Computed properties:
V in Å³/atom: 36.01
Uncorrected formation energy in kJ/mol of atoms: -133.5

Unit cell a=7.7803 b=7.7803 c=8.6424 alpha=98.63 beta=98.63 gamma=120.00
Positions (direct):
Sm1 0.0000 0.0000 0.0000
Tm1 0.3330 0.6670 0.0000
Tm2 0.6670 0.3330 0.0000
K1 0.5000 0.5000 0.5000
K2 0.8357 0.1643 0.5000
K3 0.1643 0.8357 0.5000
Te1 0.4103 0.0695 0.2083
Te2 0.5897 0.9305 0.7917
Te3 0.0695 0.4103 0.2083
Te4 0.9305 0.5897 0.7917
Te5 0.7283 0.7283 0.2077
Te6 0.2717 0.2717 0.7923

(11)
K3Sm2TmTe6 after structural relaxation, computed with PBE-GGA.

Computed properties:
V in Å³/atom: 36.69
Uncorrected formation energy in kJ/mol of atoms: -134.8

Unit cell a=7.8507 b=7.8507 c=8.6544 alpha=98.71 beta=98.71 gamma=120.00
Positions (direct):
Te1 0.7446 0.7446 0.2108
Te2 0.2554 0.2554 0.7892
Te3 0.0698 0.3958 0.2099
Te4 0.3958 0.0698 0.2099
Te5 0.9302 0.6042 0.7901
Te6 0.6042 0.9302 0.7901
K1 0.8310 0.1690 0.5000
K2 0.1690 0.8310 0.5000
K3 0.5000 0.5000 0.5000
Sm1 0.3337 0.6663 0.0000
Sm2 0.6663 0.3337 0.0000
Tm1 0.0000 0.0000 0.0000

(12)
K2SmTmTe4 after structural relaxation, computed with PBE-GGA.

Computed properties:
V in Å³/atom: 36.37
Uncorrected formation energy in kJ/mol of atoms: -134.0

Unit cell a=4.5125 b=7.8183 c=8.6473 alpha=107.52 beta=90.00 gamma=90.00
Positions (direct):
Te1 0.5000 0.7710 0.7926
Te2 0.0000 0.7436 0.2108
Te3 0.5000 0.2290 0.2074
Te4 0.0000 0.2564 0.7892
Tm1 0.0000 0.0000 0.0000
Sm1 0.5000 0.5000 0.0000
K1 0.5000 0.0000 0.5000
K2 0.0000 0.5000 0.5000